# La7Tm2Th2 | the Alexandria database | GGA-PBE | optimized geometry
# - energy above the most stable polymorph in this dataset (meV per atom) = 56
# - M_tot (μB/atom) = 0.0002
# - formation energy from the elements (eV/atom) = 0.156
data_La7Tm2Th2
_space_group_name_H-M_alt 'P 1'
_space_group_IT_number 1
_space_group_name_Hall 'P 1'
_cell_length_a 8.126
_cell_length_b 8.126
_cell_length_c 6.241
_cell_angle_alpha 105.08
_cell_angle_beta 105.08
_cell_angle_gamma 91.45
loop_
_atom_site_label
_atom_site_type_symbol
_atom_site_fract_x
_atom_site_fract_y
_atom_site_fract_z
La1 La 0.000 0.000 0.000
La2 La 0.067 0.578 0.832
La3 La 0.235 0.235 0.588
La4 La 0.422 0.933 0.168
La5 La 0.578 0.067 0.832
La6 La 0.765 0.765 0.412
La7 La 0.933 0.422 0.168
Tm1 Tm 0.225 0.775 0.500
Tm2 Tm 0.775 0.225 0.500
Th1 Th 0.421 0.421 0.200
Th2 Th 0.579 0.579 0.800


# La2TmTh4 | the Alexandria database | GGA-PBE | optimized geometry
# - M_tot (μB/atom) = 0.0000
# - formation energy from the elements (eV/atom) = 0.058
data_La2TmTh4
_space_group_name_H-M_alt 'P 1'
_space_group_IT_number 1
_space_group_name_Hall 'P 1'
_cell_length_a 3.576
_cell_length_b 36.701
_cell_length_c 3.584
_cell_angle_alpha 90.00
_cell_angle_beta 90.00
_cell_angle_gamma 90.00
loop_
_atom_site_label
_atom_site_type_symbol
_atom_site_fract_x
_atom_site_fract_y
_atom_site_fract_z
La1 La 0.000 0.204 0.000
La2 La 0.000 0.796 0.000
La3 La 0.500 0.296 0.000
La4 La 0.500 0.704 0.000
Tm1 Tm 0.000 0.500 0.500
Tm2 Tm 0.500 0.000 0.500
Th1 Th 0.000 0.069 0.000
Th2 Th 0.000 0.365 0.500
Th3 Th 0.000 0.635 0.500
Th4 Th 0.000 0.931 0.000
Th5 Th 0.500 0.135 0.500
Th6 Th 0.500 0.431 0.000
Th7 Th 0.500 0.569 0.000
Th8 Th 0.500 0.865 0.500


The records above yield E values of -5.1420; -6.2284 eV per atom, respectively.